This record from Alexandria via LeMat-Bulk describes an optimized crystal structure of CeFe4Tc. The functional is GGA-PBE.

As for the formation energy: 148 meV per atom.

It has space group F-43m (No. 216), with a = 7.039 Å, b = 7.039 Å, c = 7.039 Å, α = 90.00°, β = 90.00° and γ = 90.00°. The asymmetric unit holds Ce at (0.000, 0.000, 0.000), Fe at (0.124, 0.124, 0.376) and Tc at (0.250, 0.250, 0.750).